Here is a geometry-optimized Sr2GdMg structure from the Alexandria database. Energies are from PBE.

Computed properties:
As for the formation energy from the elements: 0.301 eV per atom.

a = 3.7778 Å, b = 3.7778 Å, c = 13.1800 Å
α = 81.76°, β = 81.76°, γ = 60.00°
Closest atoms and distances in Å follow each position.
Positions (direct):
1 Mg 0.5000 0.5000 0.5000  6 Sr 3.64, 6 Mg 3.78
2 Sr 0.0920 0.0920 0.7241  1 Gd 3.59, 3 Mg 3.64, 6 Sr 3.78
3 Sr 0.9080 0.9080 0.2759  1 Gd 3.59, 3 Mg 3.64, 6 Sr 3.78
4 Gd 0.0000 0.0000 0.0000  2 Sr 3.59, 6 Gd 3.78